Record 1
# Ho8CS4N3

An optimized crystal structure of Ho8CS4N3 (PBE, Alexandria).

Results
density of states at the Fermi level	0.202	states/eV/atom
total moment	0.0	μB per formula unit
total DFT energy (no corrections)	-7.2057	eV/atom
symmetry	R-3m (166)

Geometry as extended XYZ:
```
16
Lattice="-1.717 4.866 -5.098 -0.741 -5.526 -5.025 -3.834 -0.316 6.150" Properties=species:S:1:pos:R:3 pbc="T T T"
Ho -4.670 -3.086 1.211
Ho -2.751 -2.928 -1.868
Ho -2.688 -0.490 0.438
Ho -5.529 -0.650 -1.342
Ho -0.763 -0.326 -2.632
Ho -3.604 -0.487 -4.411
Ho -3.541 1.951 -2.105
Ho -1.622 2.110 -5.184
C -0.371 -2.763 -2.512
S -0.858 2.433 -2.549
S -2.775 2.275 0.526
S 0.000 0.000 0.000
S -1.917 -0.158 3.075
N -1.229 -0.330 -5.061
N -3.146 -0.488 -1.987
N -2.288 -2.921 0.562
```

Record 2
# TbAs2P2Pd7

An optimized crystal structure of TbAs2P2Pd7 (PBE, Alexandria).

Results
density of states at the Fermi level	0.337	states/eV/atom
total moment	0.0	μB per formula unit
total DFT energy (no corrections)	-5.4807	eV/atom
symmetry	C2/m (12)

Geometry as extended XYZ:
```
12
Lattice="4.119 0.021 0.181 0.026 4.119 0.181 2.535 2.532 12.369" Properties=species:S:1:pos:R:3 pbc="T T T"
Tb 0.000 0.000 0.000
As 3.783 3.779 4.485
As 2.898 2.894 8.246
P 4.780 4.774 9.118
P 1.901 1.898 3.613
Pd 2.073 2.070 0.181
Pd 2.271 2.268 5.930
Pd 4.410 4.405 6.801
Pd 4.045 2.007 2.403
Pd 2.012 4.043 2.403
Pd 4.669 2.630 10.328
Pd 2.635 4.665 10.328
```

Record 3
# LiMoBr2

An optimized crystal structure of LiMoBr2 (PBE, Alexandria).

Results
density of states at the Fermi level	0.073	states/eV/atom
total moment	4.5	μB per formula unit
symmetry	Cm (8)
distance to the lowest polymorph of the same formula	0.0925	eV/atom

Geometry as extended XYZ:
```
4
Lattice="-0.921 6.989 1.344 -4.487 5.310 1.781 0.923 -1.014 3.634" Properties=species:S:1:pos:R:3 pbc="T T T"
Br 0.009 0.059 0.304
Br -3.342 8.333 4.739
Li -2.323 5.909 3.749
Mo -1.072 2.627 1.344
```

Record 4
# Ac2GaCu6Ni

An optimized crystal structure of Ac2GaCu6Ni (PBE, Alexandria).

Results
density of states at the Fermi level	0.598	states/eV/atom
total moment	0.0	μB per formula unit
total DFT energy (no corrections)	-4.3157	eV/atom
symmetry	C2/m (12)

Geometry as extended XYZ:
```
10
Lattice="-3.313 3.449 1.903 -3.513 -5.963 4.698 -0.589 -0.366 6.599" Properties=species:S:1:pos:R:3 pbc="T T T"
Ac -3.411 1.226 5.762
Ac -4.003 -4.106 7.438
Ga -3.413 -1.257 3.301
Cu -2.548 -1.778 5.745
Cu -4.984 -1.807 5.110
Cu -3.297 -3.565 4.139
Cu -4.118 0.685 9.061
Cu -2.431 -1.073 8.091
Cu -4.866 -1.103 7.455
Ni -3.513 -5.963 4.698
```

Record 5
# PrEr2Zn

An optimized crystal structure of PrEr2Zn (PBE, Alexandria).

Results
density of states at the Fermi level	1.375	states/eV/atom
total moment	0.0	μB per formula unit
symmetry	P4/mmm (123)
distance to the lowest polymorph of the same formula	0.1405	eV/atom

Geometry as extended XYZ:
```
4
Lattice="4.804 0.000 0.000 0.000 4.764 0.000 0.000 0.000 4.764" Properties=species:S:1:pos:R:3 pbc="T T T"
Pr 2.402 0.000 0.000
Zn 2.402 2.382 2.382
Er 0.000 0.000 2.382
Er 0.000 2.382 0.000
```

Record 6
# Tb3NdHg6

An optimized crystal structure of Tb3NdHg6 (PBE, Alexandria).

Results
density of states at the Fermi level	0.717	states/eV/atom
total moment	0.0	μB per formula unit
total DFT energy (no corrections)	-2.4842	eV/atom
symmetry	P2_1/m (11)

Geometry as extended XYZ:
```
20
Lattice="-5.159 0.205 0.670 0.546 -6.778 6.277 1.105 9.737 5.543" Properties=species:S:1:pos:R:3 pbc="T T T"
Tb -0.584 0.349 5.515
Tb -2.924 2.814 6.975
Tb -0.209 5.479 6.834
Tb -3.298 -2.315 5.655
Tb 0.231 4.513 10.525
Tb -3.739 -1.349 1.964
Nd -0.101 -0.293 9.435
Nd -3.407 3.456 3.054
Hg -0.935 -2.195 3.591
Hg -2.573 5.359 8.899
Hg -0.987 1.093 2.181
Hg -2.520 2.071 10.308
Hg -0.155 2.580 8.137
Hg -3.353 0.583 4.352
Hg -0.579 3.391 4.621
Hg -2.928 -0.227 7.869
Hg -0.495 -2.548 7.082
Hg -3.012 5.712 5.407
Hg -0.254 8.443 5.585
Hg -3.254 -5.279 6.904
```